A relaxed structure of Li2CdGaRu, computed with GGA-PBE.

Results
* energy relative to the elements: 40.1 kJ/mol of atoms
* density: 4.73 g/cm³
* volume: 20.88 Å³/atom
* SG: No. 123

abc: 4.7018 4.7217 4.7018
angles: 90.00 90.00 90.00
With the nearest neighbours (Å) after each atom.
Positions (direct):
Li: 0.5000 0.0000 0.0000  2 Ru 2.35
Li: 0.0000 0.0000 0.5000  2 Ru 2.35
Ru: 0.0000 0.0000 0.0000  4 Li 2.35, 2 Ga 2.36
Cd: 0.5000 0.5000 0.5000  4 Ga 3.32, 8 Li 3.33
Ga: 0.0000 0.5000 0.0000  2 Ru 2.36

A relaxed structure of AuI5Cl2, computed with GGA-PBE.

Results
* density: 3.01 g/cm³
* ΔE_f (raw): 0.02 eV per atom
* volume: 62.30 Å³/atom
* SG: No. 1

abc: 6.4062 9.7053 9.5848
angles: 117.60 107.07 89.91
With the nearest neighbours (Å) after each atom.
Positions (direct):
I: 0.8036 0.7509 0.9522  1 Au 2.69
I: 0.8041 0.1978 0.9491  1 Au 2.69
I: 0.3019 0.7509 0.9524  1 Au 2.69
I: 0.8297 0.7769 0.4578  1 Cl 2.34
I: 0.2971 0.1987 0.9512  1 Au 2.69
Cl: 0.5455 0.4552 0.9375  4 I 3.02-3.24
Cl: 0.1434 0.6727 0.4028  1 I 2.34
Au: 0.0517 0.9739 0.9510  4 I 2.69

A relaxed structure of ZnFeAs2Se, computed with GGA-PBE.

Results
* distance to the lowest polymorph of the same formula: 3.25 eV/f.u.
* density: 5.17 g/cm³
* ΔE_f (raw): 1.00 eV per atom
* volume: 22.50 Å³/atom
* SG: No. 123

abc: 4.7647 4.7647 4.9553
angles: 90.00 90.00 90.00
With the nearest neighbours (Å) after each atom.
Positions (direct):
As: 0.0000 0.5000 0.0000  2 Zn 2.38
As: 0.5000 0.0000 0.0000  2 Zn 2.38
Zn: 0.0000 0.0000 0.0000  4 As 2.38, 2 Se 2.48
Fe: 0.5000 0.5000 0.5000  4 Se 3.37, 8 As 3.44
Se: 0.0000 0.0000 0.5000  2 Zn 2.48

A relaxed structure of Cs2ErI5, computed with GGA-PBE.

Results
* density: 3.94 g/cm³
* ΔE_f (raw): -1.45 eV per atom
* volume: 56.19 Å³/atom
* SG: No. 107

abc: 9.0587 9.0585 8.4283
angles: 122.50 122.50 90.00
With the nearest neighbours (Å) after each atom.
Positions (direct):
I: 0.7907 0.2477 0.0384  1 Er 2.98
I: 0.7907 0.7907 0.0385  1 Er 2.98
I: 0.7122 0.7122 0.4244  1 Er 2.82
I: 0.2477 0.7907 0.0384  1 Er 2.98
I: 0.2477 0.2477 0.0384  1 Er 2.98
Cs: 0.7593 0.2593 0.5187  10 I 4.15-4.56
Cs: 0.2593 0.7593 0.5187  10 I 4.15-4.56
Er: 0.9693 0.9693 0.9386  5 I 2.82-2.98

A relaxed structure of NdY2Hf, computed with GGA-PBE.

Results
* distance to the lowest polymorph of the same formula: 0.42 eV/f.u.
* energy relative to the elements: 22.6 kJ/mol of atoms
* density: 6.85 g/cm³
* volume: 30.33 Å³/atom
* SG: No. 123

abc: 3.9953 3.9953 7.6001
angles: 90.00 90.00 90.00
With the nearest neighbours (Å) after each atom.
Positions (direct):
Hf: 0.5000 0.5000 0.0000  8 Y 3.27
Y: 0.0000 0.0000 0.2160  4 Hf 3.27, 1 Y 3.28, 4 Nd 3.56
Y: 0.0000 0.0000 0.7840  4 Hf 3.27, 1 Y 3.28, 4 Nd 3.56
Nd: 0.5000 0.5000 0.5000  8 Y 3.56, 2 Hf 3.80

A relaxed structure of Pu2Ag5Br12, computed with GGA-PBE.

Results
* density: 5.43 g/cm³
* ΔE_f (raw): -0.78 eV per atom
* volume: 31.98 Å³/atom
* SG: No. 12

abc: 8.0619 8.5677 10.3590
angles: 103.88 90.00 118.06
With the nearest neighbours (Å) after each atom.
Positions (direct):
Br: 0.1144 0.7396 0.4785  4 Ag 2.75-3.02
Br: 0.4387 0.3637 0.1611  2 Ag 2.79-3.10, 1 Pu 2.80
Br: 0.0490 0.0979 0.8383  2 Pu 2.85
Br: 0.3749 0.2604 0.5215  4 Ag 2.75-3.02
Br: 0.9510 0.9021 0.1617  2 Pu 2.85
Br: 0.4514 0.9028 0.1645  2 Pu 2.86
Br: 0.6251 0.7396 0.4785  4 Ag 2.75-3.02
Br: 0.5613 0.6363 0.8389  2 Ag 2.79-3.10, 1 Pu 2.80
Br: 0.0749 0.6363 0.8389  2 Ag 2.79-3.10, 1 Pu 2.80
Br: 0.9251 0.3637 0.1611  2 Ag 2.79-3.10, 1 Pu 2.80
Br: 0.8856 0.2604 0.5215  4 Ag 2.75-3.02
Br: 0.5486 0.0972 0.8355  2 Pu 2.86
Ag: 0.0000 0.0000 0.5000  4 Br 2.75
Ag: 0.7179 0.4358 0.6865  4 Br 2.77-2.79, 1 Ag 3.01
Ag: 0.2693 0.5386 0.5987  6 Br 2.84-3.10, 1 Ag 3.01
Ag: 0.7307 0.4614 0.4013  6 Br 2.84-3.10, 1 Ag 3.01
Ag: 0.2821 0.5642 0.3135  4 Br 2.77-2.79, 1 Ag 3.01
Pu: 0.2506 0.0000 0.0000  6 Br 2.80-2.86
Pu: 0.7494 0.0000 0.0000  6 Br 2.80-2.86

A relaxed structure of PrDy6Y3Ho2, computed with GGA-PBE.

Results
* energy relative to the elements: 1.9 kJ/mol of atoms
* density: 7.43 g/cm³
* volume: 31.91 Å³/atom
* SG: No. 12

abc: 6.1644 6.1644 11.8066
angles: 94.97 94.97 119.95
With the nearest neighbours (Å) after each atom.
Positions (direct):
Ho: 0.6667 0.3333 0.0000  3 Ho 3.56, 3 Pr 3.56, 6 Dy 3.56-3.57
Ho: 0.3333 0.6667 0.0000  3 Ho 3.56, 3 Pr 3.56, 6 Dy 3.56-3.57
Y: 0.1670 0.8330 0.5000  6 Dy 3.55-3.56, 6 Y 3.55-3.57
Y: 0.5000 0.5000 0.5000  6 Y 3.55-3.56, 6 Dy 3.55-3.56
Y: 0.8330 0.1670 0.5000  6 Dy 3.55-3.56, 6 Y 3.55-3.57
Pr: 0.0000 0.0000 0.0000  6 Ho 3.56, 6 Dy 3.56-3.57
Dy: 0.5816 0.9157 0.7495  3 Y 3.55-3.56, 6 Dy 3.55-3.57, 2 Ho 3.56-3.57, 1 Pr 3.57
Dy: 0.9157 0.5816 0.7495  3 Y 3.55-3.56, 6 Dy 3.55-3.57, 2 Ho 3.56-3.57, 1 Pr 3.57
Dy: 0.2501 0.2501 0.7496  6 Dy 3.55-3.57, 3 Y 3.55-3.56, 1 Pr 3.56, 2 Ho 3.56
Dy: 0.4184 0.0843 0.2505  3 Y 3.55-3.56, 6 Dy 3.55-3.57, 2 Ho 3.56-3.57, 1 Pr 3.57
Dy: 0.0843 0.4184 0.2505  3 Y 3.55-3.56, 6 Dy 3.55-3.57, 2 Ho 3.56-3.57, 1 Pr 3.57
Dy: 0.7499 0.7499 0.2504  6 Dy 3.55-3.57, 3 Y 3.55-3.56, 1 Pr 3.56, 2 Ho 3.56

A relaxed structure of Zn5B3Rh7, computed with GGA-PBE.

Results
* energy relative to the elements: -42.2 kJ/mol of atoms
* density: 9.54 g/cm³
* volume: 12.52 Å³/atom
* SG: No. 51

abc: 2.8621 11.1300 11.7949
angles: 90.00 90.00 90.00
With the nearest neighbours (Å) after each atom.
Positions (direct):
Rh: 0.0000 0.2500 0.8172  2 B 2.22
Rh: 0.0000 0.7500 0.1828  2 B 2.22
Rh: 0.0000 0.8739 0.9636  2 B 2.17
Rh: 0.0000 0.5784 0.7200  2 B 2.11
Rh: 0.0000 0.7500 0.5252  4 B 2.21
Rh: 0.0000 0.3739 0.0364  2 B 2.17
Rh: 0.0000 0.2500 0.4748  4 B 2.21
Rh: 0.0000 0.4216 0.2800  2 B 2.11
Rh: 0.0000 0.9216 0.7200  2 B 2.11
Rh: 0.0000 0.0784 0.2800  2 B 2.11
Rh: 0.0000 0.6261 0.9636  2 B 2.17
Rh: 0.0000 0.1261 0.0364  2 B 2.17
Rh: 0.0000 0.0000 0.5000  4 B 2.24
Rh: 0.0000 0.5000 0.5000  4 B 2.24
B: 0.5000 0.6179 0.5939  6 Rh 2.11-2.24
B: 0.5000 0.1179 0.4061  6 Rh 2.11-2.24
B: 0.5000 0.8821 0.5939  6 Rh 2.11-2.24
B: 0.5000 0.2500 0.9616  6 Rh 2.17-2.22
B: 0.5000 0.7500 0.0384  6 Rh 2.17-2.22
B: 0.5000 0.3821 0.4061  6 Rh 2.11-2.24
Zn: 0.5000 0.7500 0.8119  8 Rh 2.62-2.67, 1 B 2.67, 2 Zn 2.86
Zn: 0.5000 0.6296 0.3474  4 Zn 2.68-2.86, 8 Rh 2.71-2.87, 2 B 2.84-2.91
Zn: 0.5000 0.2500 0.1881  8 Rh 2.62-2.67, 1 B 2.67, 2 Zn 2.86
Zn: 0.5000 0.5478 0.1336  1 B 2.52, 8 Rh 2.61-2.73, 1 Zn 2.68
Zn: 0.5000 0.9522 0.1336  1 B 2.52, 8 Rh 2.61-2.73, 1 Zn 2.68
Zn: 0.5000 0.8704 0.3474  4 Zn 2.68-2.86, 8 Rh 2.71-2.87, 2 B 2.84-2.91
Zn: 0.5000 0.0478 0.8664  1 B 2.52, 8 Rh 2.61-2.73, 1 Zn 2.68
Zn: 0.5000 0.3704 0.6526  4 Zn 2.68-2.86, 8 Rh 2.71-2.87, 2 B 2.84-2.91
Zn: 0.5000 0.1296 0.6526  4 Zn 2.68-2.86, 8 Rh 2.71-2.87, 2 B 2.84-2.91
Zn: 0.5000 0.4522 0.8664  1 B 2.52, 8 Rh 2.61-2.73, 1 Zn 2.68

A relaxed structure of PmTmMgOs, computed with GGA-PBE.

Results
* distance to the lowest polymorph of the same formula: 0.25 eV/f.u.
* energy relative to the elements: -9.5 kJ/mol of atoms
* density: 9.77 g/cm³
* volume: 22.45 Å³/atom
* SG: No. 216

abc: 5.0264 5.0264 5.0264
angles: 60.00 60.00 60.00
With the nearest neighbours (Å) after each atom.
Positions (direct):
Tm: 0.7500 0.7500 0.7500  4 Os 3.08, 4 Mg 3.08
Mg: 0.0000 0.0000 0.0000  4 Tm 3.08, 4 Pm 3.08
Os: 0.5000 0.5000 0.5000  4 Pm 3.08, 4 Tm 3.08
Pm: 0.2500 0.2500 0.2500  4 Mg 3.08, 4 Os 3.08

A relaxed structure of Th4NiTe2Se, computed with GGA-PBE.

Results
* density: 9.53 g/cm³
* ΔE_f (raw): -1.04 eV per atom
* volume: 28.77 Å³/atom
* SG: No. 10

abc: 4.1953 7.4227 7.7791
angles: 108.19 90.00 90.00
With the nearest neighbours (Å) after each atom.
Positions (direct):
Th: 0.0000 0.2816 0.7939  2 Ni 2.82, 1 Se 3.00
Th: 0.0000 0.7184 0.2061  2 Ni 2.82, 1 Se 3.00
Th: 0.5000 0.7497 0.7819  1 Ni 2.88, 2 Se 2.96, 2 Te 3.18
Th: 0.5000 0.2503 0.2181  1 Ni 2.88, 2 Se 2.96, 2 Te 3.18
Te: 0.0000 0.5000 0.5000  6 Th 3.18-3.19
Te: 0.5000 0.0000 0.5000  6 Th 3.29-3.32
Se: 0.0000 0.0000 0.0000  6 Th 2.96-3.00
Ni: 0.5000 0.5000 0.0000  6 Th 2.82-2.88

A relaxed structure of NaP2Os, computed with GGA-PBE.

Results
* distance to the lowest polymorph of the same formula: 0.82 eV/f.u.
* energy relative to the elements: 11.8 kJ/mol of atoms
* density: 8.14 g/cm³
* volume: 14.04 Å³/atom
* SG: No. 225

abc: 4.2982 4.2982 4.2982
angles: 60.00 60.00 60.00
With the nearest neighbours (Å) after each atom.
Positions (direct):
P: 0.2500 0.2500 0.2500  4 Os 2.63, 4 Na 2.63
P: 0.7500 0.7500 0.7500  4 Os 2.63, 4 Na 2.63
Os: 0.5000 0.5000 0.5000  8 P 2.63
Na: 0.0000 0.0000 0.0000  8 P 2.63

A relaxed structure of ScSi2Rh, computed with GGA-PBE.

Results
* density: 5.41 g/cm³
* ΔE_f (raw): -0.65 eV per atom
* volume: 15.64 Å³/atom
* SG: No. 6

abc: 3.6788 3.7369 4.9248
angles: 67.55 90.00 90.00
With the nearest neighbours (Å) after each atom.
Positions (direct):
Sc: 0.5000 0.7621 0.8523  7 Si 2.54-2.75
Si: 0.0000 0.2099 0.9566  2 Si 2.40, 1 Rh 2.55, 4 Sc 2.66-2.67
Si: 0.5000 0.0390 0.2949  2 Si 2.40, 1 Sc 2.54, 4 Rh 2.66
Rh: 0.0000 0.4890 0.3963  7 Si 2.55-2.74

- What is the density in the ninth record?
  9.77 g/cm³